# 1
This record from Alexandria via LeMat-Bulk describes InH3F after structural relaxation. The functional is PBE-GGA. Values from VASP.

Quantum ESPRESSO input file:
```
&SYSTEM
  ibrav = 0, nat = 5, ntyp = 3
/
ATOMIC_SPECIES
In 114.82 In.upf
H 1.01 H.upf
F 19.00 F.upf
ATOMIC_POSITIONS crystal
In 0.000 0.000 0.000
H 0.500 0.000 0.000
H 0.000 0.000 0.500
F 0.500 0.500 0.500
H 0.000 0.500 0.000
CELL_PARAMETERS angstrom
3.704 0.000 0.000
0.000 3.704 0.000
0.000 0.000 3.704
```

Properties
Calculated density = 4.471 g cm⁻³
Polymorph energy (0 for the lowest one) = 0 meV per atom
Symmetry = Pm-3m

# 2
This record from Alexandria via LeMat-Bulk describes In2H3F4 after structural relaxation. The functional is PBE-GGA. Values from VASP.

Quantum ESPRESSO input file:
```
&SYSTEM
  ibrav = 0, nat = 18, ntyp = 3
/
ATOMIC_SPECIES
H 1.01 H.upf
F 19.00 F.upf
In 114.82 In.upf
ATOMIC_POSITIONS crystal
H 0.557 0.716 0.672
F 0.897 0.653 0.059
F 0.410 0.500 0.181
In 0.922 0.476 0.180
F 0.603 0.941 0.347
F 0.910 0.181 0.500
In 0.078 0.524 0.820
H 0.943 0.328 0.284
F 0.590 0.500 0.819
H 0.057 0.672 0.716
H 0.443 0.284 0.328
H 0.250 0.391 0.609
H 0.750 0.609 0.391
In 0.422 0.180 0.476
F 0.090 0.819 0.500
In 0.578 0.820 0.524
F 0.397 0.059 0.653
F 0.103 0.347 0.941
CELL_PARAMETERS angstrom
-0.478 -1.237 4.057
6.378 -6.473 0.951
3.656 6.921 4.714
```

Properties
Calculated density = 3.148 g cm⁻³
Uncorrected energy = -66.6 eV per cell
Symmetry = C2/c

# 3
This record from Alexandria via LeMat-Bulk describes InHF2 after structural relaxation. The functional is PBE-GGA. Values from VASP.

Quantum ESPRESSO input file:
```
&SYSTEM
  ibrav = 0, nat = 8, ntyp = 3
/
ATOMIC_SPECIES
H 1.01 H.upf
In 114.82 In.upf
F 19.00 F.upf
ATOMIC_POSITIONS crystal
H 0.250 0.750 0.500
In 0.750 0.250 0.500
F 0.375 0.625 0.250
F 0.375 0.625 0.750
In 0.000 0.000 0.000
F 0.875 0.625 0.750
F 0.375 0.125 0.250
H 0.500 0.500 0.000
CELL_PARAMETERS angstrom
5.086 0.000 0.000
0.000 5.086 0.000
2.543 2.543 3.603
```

Properties
Calculated density = 5.481 g cm⁻³
Polymorph energy (0 for the lowest one) = 489 meV per atom
Symmetry = Fd-3m

# 4
This record from Alexandria via LeMat-Bulk describes InHF2 after structural relaxation. The functional is PBE-GGA. Values from VASP.

Quantum ESPRESSO input file:
```
&SYSTEM
  ibrav = 0, nat = 4, ntyp = 3
/
ATOMIC_SPECIES
F 19.00 F.upf
H 1.01 H.upf
In 114.82 In.upf
ATOMIC_POSITIONS crystal
F 0.750 0.750 0.750
H 0.000 0.000 0.000
F 0.250 0.250 0.250
In 0.500 0.500 0.500
CELL_PARAMETERS angstrom
-1.754 -2.609 2.300
0.836 -0.118 3.803
-2.642 1.171 2.612
```

Properties
Calculated density = 6.110 g cm⁻³
Polymorph energy (0 for the lowest one) = 687 meV per atom
Symmetry = Fm-3m

# 5
This record from Alexandria via LeMat-Bulk describes InHF4 after structural relaxation. The functional is PBE-GGA. Values from VASP.

Quantum ESPRESSO input file:
```
&SYSTEM
  ibrav = 0, nat = 12, ntyp = 3
/
ATOMIC_SPECIES
F 19.00 F.upf
In 114.82 In.upf
H 1.01 H.upf
ATOMIC_POSITIONS crystal
F 0.607 0.453 0.155
In 0.500 0.000 0.500
F 0.203 0.857 0.655
H 0.399 0.399 0.000
F 0.723 0.013 0.290
F 0.723 0.433 0.710
F 0.298 0.453 0.845
F 0.183 0.973 0.210
H 0.149 0.649 0.500
F 0.203 0.548 0.345
In 0.750 0.750 0.000
F 0.763 0.973 0.790
CELL_PARAMETERS angstrom
6.025 -0.168 0.000
-2.587 5.444 0.000
-1.719 -2.638 5.139
```

Properties
Calculated density = 3.830 g cm⁻³
Polymorph energy (0 for the lowest one) = 86 meV per atom
Symmetry = I4_1md

# 6
This record from Alexandria via LeMat-Bulk describes InH4F after structural relaxation. The functional is PBE-GGA. Values from VASP.

Quantum ESPRESSO input file:
```
&SYSTEM
  ibrav = 0, nat = 12, ntyp = 3
/
ATOMIC_SPECIES
H 1.01 H.upf
F 19.00 F.upf
In 114.82 In.upf
ATOMIC_POSITIONS crystal
H 0.116 0.911 0.312
H 0.911 0.116 0.812
F 0.132 0.868 0.750
H 0.427 0.415 0.546
H 0.573 0.585 0.454
F 0.868 0.132 0.250
In 0.293 0.707 0.250
H 0.415 0.427 0.046
H 0.089 0.884 0.188
In 0.707 0.293 0.750
H 0.585 0.573 0.954
H 0.884 0.089 0.688
CELL_PARAMETERS angstrom
-4.210 8.295 1.126
1.004 -9.316 -0.019
1.009 -0.077 5.779
```

Properties
Calculated density = 2.424 g cm⁻³
Uncorrected energy = -42.3 eV per cell
Symmetry = C2/c

# 7
This record from Alexandria via LeMat-Bulk describes InHF2 after structural relaxation. The functional is PBE-GGA. Values from VASP.

Quantum ESPRESSO input file:
```
&SYSTEM
  ibrav = 0, nat = 4, ntyp = 3
/
ATOMIC_SPECIES
F 19.00 F.upf
H 1.01 H.upf
In 114.82 In.upf
ATOMIC_POSITIONS crystal
F 0.117 0.117 0.117
H 0.500 0.500 0.500
In 0.000 0.000 0.000
F 0.883 0.883 0.883
CELL_PARAMETERS angstrom
-5.765 -0.945 2.808
-4.008 -0.531 5.066
-5.079 1.740 3.632
```

Properties
Calculated density = 5.635 g cm⁻³
Polymorph energy (0 for the lowest one) = 851 meV per atom
Symmetry = R-3m

# 8
This record from Alexandria via LeMat-Bulk describes In2HF after structural relaxation. The functional is PBE-GGA. Values from VASP.

Quantum ESPRESSO input file:
```
&SYSTEM
  ibrav = 0, nat = 8, ntyp = 3
/
ATOMIC_SPECIES
In 114.82 In.upf
H 1.01 H.upf
F 19.00 F.upf
ATOMIC_POSITIONS crystal
In 0.375 0.415 0.750
In 0.875 0.835 0.750
In 0.165 0.625 0.250
H 0.250 0.750 0.500
In 0.585 0.125 0.250
F 0.000 0.000 0.000
H 0.500 0.500 0.000
F 0.750 0.250 0.500
CELL_PARAMETERS angstrom
-3.076 2.291 4.207
-4.356 0.744 -3.589
-5.549 -3.224 1.551
```

Properties
Calculated density = 4.888 g cm⁻³
Polymorph energy (0 for the lowest one) = 0 meV per atom
Symmetry = I-42d

# 9
This record from Alexandria via LeMat-Bulk describes In2H5F4 after structural relaxation. The functional is PBE-GGA. Values from VASP.

Quantum ESPRESSO input file:
```
&SYSTEM
  ibrav = 0, nat = 11, ntyp = 3
/
ATOMIC_SPECIES
In 114.82 In.upf
F 19.00 F.upf
H 1.01 H.upf
ATOMIC_POSITIONS crystal
In 0.275 0.660 0.664
F 0.729 0.614 0.855
H 0.960 0.245 0.830
F 0.725 0.850 0.618
H 0.000 0.500 0.500
In 0.725 0.340 0.336
H 0.993 0.834 0.246
H 0.007 0.166 0.754
F 0.271 0.386 0.145
F 0.275 0.150 0.382
H 0.040 0.755 0.170
CELL_PARAMETERS angstrom
-1.230 -1.647 -2.475
-2.484 -5.775 3.928
-6.400 3.547 -0.267
```

Properties
Calculated density = 3.017 g cm⁻³
Uncorrected energy = -41.1 eV per cell
Symmetry = P-1

# 10
This record from Alexandria via LeMat-Bulk describes InH3F3 after structural relaxation. The functional is PBE-GGA. Values from VASP.

Quantum ESPRESSO input file:
```
&SYSTEM
  ibrav = 0, nat = 14, ntyp = 3
/
ATOMIC_SPECIES
H 1.01 H.upf
In 114.82 In.upf
F 19.00 F.upf
ATOMIC_POSITIONS crystal
H 0.683 0.106 0.696
In 0.497 0.500 0.750
H 0.317 0.106 0.196
H 0.837 0.000 0.750
H 0.163 0.000 0.250
F 0.003 0.500 0.250
H 0.683 0.894 0.804
F 0.487 0.259 0.118
F 0.487 0.741 0.382
H 0.317 0.894 0.304
F 0.513 0.741 0.882
F 0.997 0.500 0.750
In 0.503 0.500 0.250
F 0.513 0.259 0.618
CELL_PARAMETERS angstrom
-3.156 -2.112 2.118
5.097 -3.427 4.179
2.328 3.129 6.588
```

Properties
Calculated density = 2.719 g cm⁻³
Uncorrected energy = -53.5 eV per cell
Symmetry = P2/c

# 11
This record from Alexandria via LeMat-Bulk describes InH2F6 after structural relaxation. The functional is PBE-GGA. Values from VASP.

Quantum ESPRESSO input file:
```
&SYSTEM
  ibrav = 0, nat = 18, ntyp = 3
/
ATOMIC_SPECIES
F 19.00 F.upf
In 114.82 In.upf
H 1.01 H.upf
ATOMIC_POSITIONS crystal
F 0.497 0.740 0.565
F 0.503 0.260 0.435
F 0.003 0.435 0.260
In 0.250 0.245 0.755
F 0.964 0.821 0.425
H 0.480 0.576 0.706
H 0.520 0.424 0.294
F 0.982 0.144 0.044
F 0.536 0.575 0.179
F 0.482 0.044 0.144
F 0.018 0.856 0.956
F 0.464 0.425 0.821
F 0.997 0.565 0.740
H 0.020 0.294 0.424
F 0.036 0.179 0.575
H 0.980 0.706 0.576
F 0.518 0.956 0.856
In 0.750 0.755 0.245
CELL_PARAMETERS angstrom
5.807 0.168 0.163
1.899 6.157 0.420
1.899 0.619 6.140
```

Properties
Calculated density = 3.574 g cm⁻³
Uncorrected energy = -72.3 eV per cell
Symmetry = C2/c

# 12
This record from Alexandria via LeMat-Bulk describes InHF2 after structural relaxation. The functional is PBE-GGA. Values from VASP.

Quantum ESPRESSO input file:
```
&SYSTEM
  ibrav = 0, nat = 4, ntyp = 3
/
ATOMIC_SPECIES
F 19.00 F.upf
H 1.01 H.upf
In 114.82 In.upf
ATOMIC_POSITIONS crystal
F 0.068 0.068 0.068
F 0.932 0.932 0.932
H 0.000 0.000 0.000
In 0.500 0.500 0.500
CELL_PARAMETERS angstrom
2.172 0.000 5.655
-1.086 1.881 5.655
-1.086 -1.881 5.655
```

Properties
Calculated density = 3.685 g cm⁻³
Polymorph energy (0 for the lowest one) = 0 meV per atom
Symmetry = R-3m

Question: Which value of calculated density does entry 7 give?
Answer: 5.635 g cm⁻³